# 1
Entry from Alexandria via LeMat-Bulk: crystalline Mg4TlPt at its relaxed geometry (GGA-PBE).

Cell lengths 5.5914, 5.5914, 5.5914 Å; angles 60.00, 60.00, 60.00 degrees
Closest atoms and distances in Å follow each position.
Atoms (fractional coordinates):
Mg: 0.1240 0.1240 0.1240  6 Mg 2.77-2.82
Mg: 0.1240 0.1240 0.6280  6 Mg 2.77-2.82
Mg: 0.1240 0.6280 0.1240  6 Mg 2.77-2.82
Mg: 0.6280 0.1240 0.1240  6 Mg 2.77-2.82
Tl: 0.5000 0.5000 0.5000  12 Mg 3.28, 4 Pt 3.42
Pt: 0.7500 0.7500 0.7500  12 Mg 3.28, 4 Tl 3.42

Summary:
The energy above the lowest structure with this stoichiometry is 36.9 kJ per mole of atoms. The density comes out at 6.7 g/cm³.

# 2
Entry from Alexandria via LeMat-Bulk: crystalline Mg8Tl2Pt at its relaxed geometry (GGA-PBE).

Cell lengths 11.9685, 11.9685, 4.5971 Å; angles 100.91, 100.91, 22.14 degrees
Closest atoms and distances in Å follow each position.
Atoms (fractional coordinates):
Mg: 0.0622 0.0622 0.0567  2 Pt 2.71, 1 Mg 2.87
Mg: 0.2500 0.2500 0.2507  4 Tl 3.10-3.13, 8 Mg 3.20-3.26
Mg: 0.3472 0.3472 0.8496  8 Mg 3.10-3.22, 4 Tl 3.25
Mg: 0.4379 0.4379 0.4398  2 Pt 2.70-2.71, 1 Mg 2.87
Mg: 0.5621 0.5621 0.5602  2 Pt 2.70-2.71, 1 Mg 2.87
Mg: 0.6528 0.6528 0.1504  8 Mg 3.10-3.22, 4 Tl 3.25
Mg: 0.7500 0.7500 0.7493  4 Tl 3.10-3.13, 8 Mg 3.20-3.26
Mg: 0.9378 0.9378 0.9433  2 Pt 2.71, 1 Mg 2.87
Tl: 0.1591 0.1591 0.6565  12 Mg 3.10-3.25
Tl: 0.8409 0.8409 0.3435  12 Mg 3.10-3.25
Pt: 0.5000 0.5000 0.0000  8 Mg 2.70-2.71

Summary:
The energy above the lowest structure with this stoichiometry is 0.0 kJ per mole of atoms. The density comes out at 5.4 g/cm³.

# 3
Entry from Alexandria via LeMat-Bulk: crystalline MgTl3Pt at its relaxed geometry (GGA-PBE).

Cell lengths 5.3739, 5.3739, 5.3739 Å; angles 90.00, 90.00, 90.00 degrees
Closest atoms and distances in Å follow each position.
Atoms (fractional coordinates):
Mg: 0.0000 0.0000 0.0000  12 Tl 3.80
Tl: 0.0000 0.5000 0.5000  2 Pt 2.69
Tl: 0.5000 0.0000 0.5000  2 Pt 2.69
Tl: 0.5000 0.5000 0.0000  2 Pt 2.69
Pt: 0.5000 0.5000 0.5000  6 Tl 2.69

Summary:
The energy above the lowest structure with this stoichiometry is 0.0 kJ per mole of atoms. The density comes out at 8.9 g/cm³.

# 4
Entry from Alexandria via LeMat-Bulk: crystalline Mg2TlPt at its relaxed geometry (GGA-PBE).

Cell lengths 9.7032, 3.7391, 4.6048 Å; angles 90.00, 109.49, 90.00 degrees
Closest atoms and distances in Å follow each position.
Atoms (fractional coordinates):
Mg: 0.0000 0.0000 0.0000  3 Pt 2.76-3.02, 4 Tl 2.90-3.06, 1 Mg 2.97
Mg: 0.2282 0.0000 0.7008  4 Pt 2.83-3.11, 3 Tl 2.90-3.05, 3 Mg 2.97-3.15
Mg: 0.5000 0.5000 0.0000  3 Pt 2.76-3.02, 4 Tl 2.90-3.06, 1 Mg 2.97
Mg: 0.7282 0.5000 0.7008  4 Pt 2.83-3.11, 3 Tl 2.90-3.05, 3 Mg 2.97-3.15
Tl: 0.4667 0.0000 0.4537  7 Mg 2.90-3.06, 3 Pt 2.97-3.20
Tl: 0.9667 0.5000 0.4537  7 Mg 2.90-3.06, 3 Pt 2.97-3.20
Pt: 0.2218 0.5000 0.1574  5 Mg 2.76-3.02, 2 Tl 2.97
Pt: 0.7218 0.0000 0.1574  5 Mg 2.76-3.02, 2 Tl 2.97

Summary:
The value obtained for the electronic total energy is -25.809 eV/cell. The density comes out at 9.4 g/cm³.

# 5
Entry from Alexandria via LeMat-Bulk: crystalline MgTl2Pt at its relaxed geometry (GGA-PBE).

Cell lengths 9.2994, 9.2994, 5.2144 Å; angles 90.00, 90.00, 90.00 degrees
Closest atoms and distances in Å follow each position.
Atoms (fractional coordinates):
Mg: 0.0000 0.0000 0.0000  2 Pt 2.61
Mg: 0.0000 0.5000 0.2500  2 Pt 2.61
Mg: 0.5000 0.0000 0.7500  2 Pt 2.61
Mg: 0.5000 0.5000 0.5000  2 Pt 2.61
Tl: 0.1449 0.7500 0.6250  2 Pt 2.77
Tl: 0.2500 0.1449 0.3750  2 Pt 2.77
Tl: 0.2500 0.3551 0.8750  2 Pt 2.77
Tl: 0.3551 0.7500 0.1250  2 Pt 2.77
Tl: 0.6449 0.2500 0.1250  2 Pt 2.77
Tl: 0.7500 0.6449 0.8750  2 Pt 2.77
Tl: 0.7500 0.8551 0.3750  2 Pt 2.77
Tl: 0.8551 0.2500 0.6250  2 Pt 2.77
Pt: 0.0000 0.0000 0.5000  2 Mg 2.61, 4 Tl 2.77
Pt: 0.0000 0.5000 0.7500  2 Mg 2.61, 4 Tl 2.77
Pt: 0.5000 0.0000 0.2500  2 Mg 2.61, 4 Tl 2.77
Pt: 0.5000 0.5000 0.0000  2 Mg 2.61, 4 Tl 2.77

Summary:
The energy above the lowest structure with this stoichiometry is 14.6 kJ per mole of atoms. The density comes out at 9.3 g/cm³.

# 6
Entry from Alexandria via LeMat-Bulk: crystalline Mg2TlPt at its relaxed geometry (GGA-PBE).

Cell lengths 3.2751, 3.2751, 27.0633 Å; angles 90.00, 90.00, 120.00 degrees
Closest atoms and distances in Å follow each position.
Atoms (fractional coordinates):
Mg: 0.0000 0.0000 0.2374  3 Pt 2.69
Mg: 0.0000 0.0000 0.7626  3 Pt 2.69
Mg: 0.3333 0.6667 0.4293  3 Pt 2.69
Mg: 0.3333 0.6667 0.9041  3 Pt 2.69
Mg: 0.6667 0.3333 0.0959  3 Pt 2.69
Mg: 0.6667 0.3333 0.5707  3 Pt 2.69
Tl: 0.0000 0.0000 0.0000  6 Mg 3.21, 6 Tl 3.28
Tl: 0.3333 0.6667 0.6667  6 Mg 3.21, 6 Tl 3.28
Tl: 0.6667 0.3333 0.3333  6 Mg 3.21, 6 Tl 3.28
Pt: 0.0000 0.0000 0.5000  6 Mg 2.69
Pt: 0.3333 0.6667 0.1667  6 Mg 2.69
Pt: 0.6667 0.3333 0.8333  6 Mg 2.69

Summary:
The value obtained for the electronic total energy is -38.102 eV/cell. The density comes out at 8.9 g/cm³.

# 7
Entry from Alexandria via LeMat-Bulk: crystalline MgTl2Pt at its relaxed geometry (GGA-PBE).

Cell lengths 7.0298, 7.0298, 7.0298 Å; angles 90.00, 90.00, 90.00 degrees
Closest atoms and distances in Å follow each position.
Atoms (fractional coordinates):
Mg: 0.0000 0.0000 0.0000  8 Tl 3.04
Mg: 0.0000 0.5000 0.5000  8 Tl 3.04
Mg: 0.5000 0.0000 0.5000  8 Tl 3.04
Mg: 0.5000 0.5000 0.0000  8 Tl 3.04
Tl: 0.2500 0.2500 0.2500  4 Mg 3.04, 4 Pt 3.04
Tl: 0.2500 0.2500 0.7500  4 Mg 3.04, 4 Pt 3.04
Tl: 0.2500 0.7500 0.2500  4 Mg 3.04, 4 Pt 3.04
Tl: 0.2500 0.7500 0.7500  4 Mg 3.04, 4 Pt 3.04
Tl: 0.7500 0.2500 0.2500  4 Mg 3.04, 4 Pt 3.04
Tl: 0.7500 0.2500 0.7500  4 Mg 3.04, 4 Pt 3.04
Tl: 0.7500 0.7500 0.2500  4 Mg 3.04, 4 Pt 3.04
Tl: 0.7500 0.7500 0.7500  4 Mg 3.04, 4 Pt 3.04
Pt: 0.0000 0.0000 0.5000  8 Tl 3.04
Pt: 0.0000 0.5000 0.0000  8 Tl 3.04
Pt: 0.5000 0.0000 0.0000  8 Tl 3.04
Pt: 0.5000 0.5000 0.5000  8 Tl 3.04

Summary:
The energy above the lowest structure with this stoichiometry is 21.8 kJ per mole of atoms. The density comes out at 12.0 g/cm³.

# 8
Entry from Alexandria via LeMat-Bulk: crystalline Mg2TlPt at its relaxed geometry (GGA-PBE).

Cell lengths 4.2481, 4.2481, 8.4214 Å; angles 90.00, 90.00, 90.00 degrees
Closest atoms and distances in Å follow each position.
Atoms (fractional coordinates):
Mg: 0.0000 0.0000 0.0000  4 Tl 2.99, 4 Mg 2.99, 4 Pt 3.00
Mg: 0.0000 0.5000 0.2500  4 Mg 2.99, 4 Pt 2.99, 4 Tl 3.00
Mg: 0.5000 0.0000 0.7500  4 Mg 2.99, 4 Pt 2.99, 4 Tl 3.00
Mg: 0.5000 0.5000 0.5000  4 Tl 2.99, 4 Mg 2.99, 4 Pt 3.00
Tl: 0.0000 0.5000 0.7500  8 Mg 2.99-3.00, 4 Pt 2.99
Tl: 0.5000 0.0000 0.2500  8 Mg 2.99-3.00, 4 Pt 2.99
Pt: 0.0000 0.0000 0.5000  4 Tl 2.99, 8 Mg 2.99-3.00
Pt: 0.5000 0.5000 0.0000  4 Tl 2.99, 8 Mg 2.99-3.00

Summary:
The value obtained for the electronic total energy is -25.775 eV/cell. The density comes out at 9.8 g/cm³.